[1]
DFT (PBE) results for an optimized crystal structure of Dy4Er2Tl.

```
Dy4Er2Tl
1.0
5.5983 0.0000 -0.4184
0.0000 6.7418 0.0000
-2.1969 0.0000 11.5148
Dy Tl Er
8 2 4
Direct
0.3716 0.9895 0.7063 Dy
0.8100 0.2500 0.5871 Dy
0.6284 0.0105 0.2937 Dy
0.1900 0.7500 0.4129 Dy
0.0290 0.2500 0.1432 Dy
0.9710 0.7500 0.8568 Dy
0.3716 0.5105 0.7063 Dy
0.6284 0.4895 0.2937 Dy
0.8718 0.2500 0.8589 Tl
0.1282 0.7500 0.1411 Tl
0.4321 0.2500 0.9787 Er
0.2241 0.2500 0.4376 Er
0.5679 0.7500 0.0213 Er
0.7759 0.7500 0.5624 Er
```

Values from the calculation:
formation enthalpy at 0 K	4	meV/atom
crystal system	monoclinic
total energy	-4.27	eV/atom
SG	P2_1/m, No. 11


[2]
DFT (PBE) results for an optimized crystal structure of NdEr2Te.

```
NdEr2Te
1.0
3.8427 0.0000 0.0000
0.0000 3.8427 0.0000
0.0000 0.0000 8.0484
Nd Te Er
1 1 2
Direct
0.5000 0.5000 0.0000 Nd
0.5000 0.5000 0.5000 Te
0.0000 0.0000 0.7192 Er
0.0000 0.0000 0.2808 Er
```

Values from the calculation:
crystal system	tetragonal
E above lowest polymorph	0.114	eV per atom
total energy	-4.79	eV/atom
SG	P4/mmm, No. 123
raw formation energy	-534.1	meV/atom


[3]
DFT (PBE) results for an optimized crystal structure of CsSeO.

```
CsSeO
1.0
-2.4720 -1.9108 -4.1675
0.7123 -4.7599 1.0325
-5.2265 -0.5285 6.0099
Se O Cs
2 2 2
Direct
0.8440 0.7510 0.5123 Se
0.7792 0.1816 0.2806 Se
0.0164 0.8529 0.7120 O
0.6071 0.0795 0.0810 O
0.1734 0.7241 0.1005 Cs
0.4497 0.2081 0.6922 Cs
```

Values from the calculation:
crystal system	triclinic
E above lowest polymorph	0.000	eV per atom
total energy	-4.08	eV/atom
SG	P-1, No. 2
raw formation energy	-978.1	meV/atom


[4]
DFT (PBE) results for an optimized crystal structure of Ba7Bi2Au2.

```
Ba7Bi2Au2
1.0
8.0216 -0.0036 -0.3343
0.0035 8.4302 0.0039
-0.8334 -0.0030 7.9852
Au Bi Ba
2 2 7
Direct
0.2745 0.0000 0.7255 Au
0.7255 0.0000 0.2745 Au
0.7658 0.5000 0.7658 Bi
0.2342 0.5000 0.2342 Bi
0.4998 0.2349 0.5002 Ba
0.0002 0.7445 0.4997 Ba
0.5002 0.7651 0.4998 Ba
0.0000 0.0000 0.0000 Ba
0.5003 0.7445 0.9998 Ba
0.9998 0.2555 0.5003 Ba
0.4997 0.2555 0.0002 Ba
```

Values from the calculation:
formation enthalpy at 0 K	-548	meV/atom
crystal system	orthorhombic
total energy	-3.07	eV/atom
SG	Cmmm, No. 65